Record 1
Density functional theory data (GGA-PBE) for a relaxed structure of Tb5MgIn4.

Geometry as CIF:
```
data_Tb5MgIn4
_chemical_formula_sum 'Tb5 Mg1 In4'
_space_group_name_H-M_alt 'P 1'
_space_group_IT_number 1
_cell_length_a 3.780
_cell_length_b 3.780
_cell_length_c 18.844
_cell_angle_alpha 90.00
_cell_angle_beta 90.00
_cell_angle_gamma 90.00
loop_
_space_group_symop_operation_xyz
'x,y,z'
loop_
_atom_site_label
_atom_site_type_symbol
_atom_site_fract_x
_atom_site_fract_y
_atom_site_fract_z
Tb1 Tb 0.000 0.000 0.000
Tb2 Tb 0.000 0.000 0.201
Tb3 Tb 0.000 0.000 0.401
Tb4 Tb 0.000 0.000 0.599
Tb5 Tb 0.000 0.000 0.799
Mg1 Mg 0.500 0.500 0.500
In1 In 0.500 0.500 0.100
In2 In 0.500 0.500 0.303
In3 In 0.500 0.500 0.697
In4 In 0.500 0.500 0.900
```

Computed properties:
ΔE_f in eV per atom: -0.41
Electronic total energy in eV per atom: -3.9762
Total moment in μB per formula unit: 0.000
Space group: P4/mmm



Record 2
Density functional theory data (GGA-PBE) for a relaxed structure of Tb6MgIn.

Geometry as CIF:
```
data_Tb6MgIn
_chemical_formula_sum 'Tb6 Mg1 In1'
_space_group_name_H-M_alt 'P 1'
_space_group_IT_number 1
_cell_length_a 6.204
_cell_length_b 6.204
_cell_length_c 6.204
_cell_angle_alpha 90.86
_cell_angle_beta 90.86
_cell_angle_gamma 90.86
loop_
_space_group_symop_operation_xyz
'x,y,z'
loop_
_atom_site_label
_atom_site_type_symbol
_atom_site_fract_x
_atom_site_fract_y
_atom_site_fract_z
Tb1 Tb 0.018 0.754 0.528
Tb2 Tb 0.246 0.472 0.982
Tb3 Tb 0.472 0.982 0.246
Tb4 Tb 0.528 0.018 0.754
Tb5 Tb 0.754 0.528 0.018
Tb6 Tb 0.982 0.246 0.472
Mg1 Mg 0.500 0.500 0.500
In1 In 0.000 0.000 0.000
```

Computed properties:
ΔE_f in eV per atom: -0.07
Electronic total energy in eV per atom: -4.0813
ΔE to the lowest computed polymorph in eV per atom: 0.0522
Total moment in μB per formula unit: 0.000
Space group: R-3



Record 3
Density functional theory data (GGA-PBE) for a relaxed structure of Tb2MgIn3Te6.

Geometry as CIF:
```
data_Tb2MgIn3Te6
_chemical_formula_sum 'Tb2 Mg1 In3 Te6'
_space_group_name_H-M_alt 'P 1'
_space_group_IT_number 1
_cell_length_a 7.627
_cell_length_b 7.627
_cell_length_c 8.188
_cell_angle_alpha 98.92
_cell_angle_beta 98.92
_cell_angle_gamma 120.10
loop_
_space_group_symop_operation_xyz
'x,y,z'
loop_
_atom_site_label
_atom_site_type_symbol
_atom_site_fract_x
_atom_site_fract_y
_atom_site_fract_z
Tb1 Tb 0.166 0.834 0.000
Tb2 Tb 0.834 0.166 0.000
Mg1 Mg 0.500 0.500 0.000
In1 In 0.000 0.000 0.500
In2 In 0.329 0.671 0.500
In3 In 0.671 0.329 0.500
Te1 Te 0.098 0.426 0.777
Te2 Te 0.248 0.248 0.226
Te3 Te 0.426 0.098 0.777
Te4 Te 0.574 0.902 0.223
Te5 Te 0.752 0.752 0.774
Te6 Te 0.902 0.574 0.223
```

Computed properties:
Electronic total energy in eV per atom: -3.9619
Raw formation energy in kJ per mole of atoms: -77
Total moment in μB per formula unit: 0.000
Space group: C2/m



Record 4
Density functional theory data (GGA-PBE) for a relaxed structure of Tb3MgIn3Te8.

Geometry as CIF:
```
data_Tb3MgIn3Te8
_chemical_formula_sum 'Tb3 Mg1 In3 Te8'
_space_group_name_H-M_alt 'P 1'
_space_group_IT_number 1
_cell_length_a 8.757
_cell_length_b 8.757
_cell_length_c 9.170
_cell_angle_alpha 118.55
_cell_angle_beta 118.55
_cell_angle_gamma 60.04
loop_
_space_group_symop_operation_xyz
'x,y,z'
loop_
_atom_site_label
_atom_site_type_symbol
_atom_site_fract_x
_atom_site_fract_y
_atom_site_fract_z
Tb1 Tb 0.000 0.000 0.000
Tb2 Tb 0.000 0.500 0.000
Tb3 Tb 0.500 0.000 0.000
Mg1 Mg 0.500 0.500 0.000
In1 In 0.000 0.500 0.500
In2 In 0.500 0.000 0.500
In3 In 0.500 0.500 0.500
Te1 Te 0.245 0.245 0.235
Te2 Te 0.252 0.737 0.226
Te3 Te 0.263 0.263 0.774
Te4 Te 0.263 0.748 0.774
Te5 Te 0.737 0.252 0.226
Te6 Te 0.737 0.737 0.226
Te7 Te 0.748 0.263 0.774
Te8 Te 0.755 0.755 0.765
```

Computed properties:
Electronic total energy in eV per atom: -4.0998
Raw formation energy in kJ per mole of atoms: -81
Total moment in μB per formula unit: 0.000
Space group: C2/m



Record 5
Density functional theory data (GGA-PBE) for a relaxed structure of TbThMgIn.

Geometry as CIF:
```
data_TbThMgIn
_chemical_formula_sum 'Tb1 Th1 Mg1 In1'
_space_group_name_H-M_alt 'P 1'
_space_group_IT_number 1
_cell_length_a 5.401
_cell_length_b 5.401
_cell_length_c 5.401
_cell_angle_alpha 60.00
_cell_angle_beta 60.00
_cell_angle_gamma 60.00
loop_
_space_group_symop_operation_xyz
'x,y,z'
loop_
_atom_site_label
_atom_site_type_symbol
_atom_site_fract_x
_atom_site_fract_y
_atom_site_fract_z
Tb1 Tb 0.000 0.000 0.000
Th1 Th 0.500 0.500 0.500
Mg1 Mg 0.250 0.250 0.250
In1 In 0.750 0.750 0.750
```

Computed properties:
ΔE_f in eV per atom: -0.18
Electronic total energy in eV per atom: -4.2794
Total moment in μB per formula unit: 0.000
Space group: F-43m



Record 6
Density functional theory data (GGA-PBE) for a relaxed structure of Tb2ThMg2In2.

Geometry as CIF:
```
data_Tb2ThMg2In2
_chemical_formula_sum 'Tb2 Th1 Mg2 In2'
_space_group_name_H-M_alt 'P 1'
_space_group_IT_number 1
_cell_length_a 9.238
_cell_length_b 9.238
_cell_length_c 9.238
_cell_angle_alpha 31.65
_cell_angle_beta 31.65
_cell_angle_gamma 31.65
loop_
_space_group_symop_operation_xyz
'x,y,z'
loop_
_atom_site_label
_atom_site_type_symbol
_atom_site_fract_x
_atom_site_fract_y
_atom_site_fract_z
Tb1 Tb 0.130 0.130 0.130
Tb2 Tb 0.870 0.870 0.870
Th1 Th 0.000 0.000 0.000
Mg1 Mg 0.405 0.405 0.405
Mg2 Mg 0.595 0.595 0.595
In1 In 0.262 0.262 0.262
In2 In 0.738 0.738 0.738
```

Computed properties:
ΔE_f in eV per atom: -0.17
Electronic total energy in eV per atom: -3.7919
Total moment in μB per formula unit: 0.000
Space group: R-3m



Record 7
Density functional theory data (GGA-PBE) for a relaxed structure of MgInTc2.

Geometry as CIF:
```
data_MgInTc2
_chemical_formula_sum 'Mg2 In2 Tc4'
_space_group_name_H-M_alt 'P 1'
_space_group_IT_number 1
_cell_length_a 5.836
_cell_length_b 5.836
_cell_length_c 5.836
_cell_angle_alpha 102.27
_cell_angle_beta 102.27
_cell_angle_gamma 125.10
loop_
_space_group_symop_operation_xyz
'x,y,z'
loop_
_atom_site_label
_atom_site_type_symbol
_atom_site_fract_x
_atom_site_fract_y
_atom_site_fract_z
Mg1 Mg 0.000 0.000 0.000
Mg2 Mg 0.750 0.250 0.500
In1 In 0.250 0.750 0.500
In2 In 0.500 0.500 0.000
Tc1 Tc 0.118 0.625 0.993
Tc2 Tc 0.375 0.368 0.493
Tc3 Tc 0.632 0.125 0.007
Tc4 Tc 0.875 0.882 0.507
```

Computed properties:
ΔE_f in eV per atom: 0.83
Electronic total energy in eV per atom: -5.4323
ΔE to the lowest computed polymorph in eV per atom: 0.8086
Total moment in μB per formula unit: 0.001
Space group: I-42d



Record 8
Density functional theory data (GGA-PBE) for a relaxed structure of MgInTc2.

Geometry as CIF:
```
data_MgInTc2
_chemical_formula_sum 'Mg1 In1 Tc2'
_space_group_name_H-M_alt 'P 1'
_space_group_IT_number 1
_cell_length_a 5.358
_cell_length_b 5.358
_cell_length_c 5.358
_cell_angle_alpha 144.65
_cell_angle_beta 128.69
_cell_angle_gamma 63.85
loop_
_space_group_symop_operation_xyz
'x,y,z'
loop_
_atom_site_label
_atom_site_type_symbol
_atom_site_fract_x
_atom_site_fract_y
_atom_site_fract_z
Mg1 Mg 0.000 0.000 0.000
In1 In 0.726 0.226 0.500
Tc1 Tc 0.257 0.757 0.500
Tc2 Tc 0.466 0.466 0.000
```

Computed properties:
ΔE_f in eV per atom: 0.22
Electronic total energy in eV per atom: -6.0461
ΔE to the lowest computed polymorph in eV per atom: 0.1948
Total moment in μB per formula unit: 0.000
Space group: Imm2



Record 9
Density functional theory data (GGA-PBE) for a relaxed structure of MgInTc2.

Geometry as CIF:
```
data_MgInTc2
_chemical_formula_sum 'Mg1 In1 Tc2'
_space_group_name_H-M_alt 'P 1'
_space_group_IT_number 1
_cell_length_a 2.807
_cell_length_b 2.807
_cell_length_c 9.032
_cell_angle_alpha 90.00
_cell_angle_beta 90.00
_cell_angle_gamma 108.34
loop_
_space_group_symop_operation_xyz
'x,y,z'
loop_
_atom_site_label
_atom_site_type_symbol
_atom_site_fract_x
_atom_site_fract_y
_atom_site_fract_z
Mg1 Mg 0.000 0.000 0.000
In1 In 0.000 0.000 0.500
Tc1 Tc 0.500 0.500 0.249
Tc2 Tc 0.500 0.500 0.751
```

Computed properties:
ΔE_f in eV per atom: 0.40
Electronic total energy in eV per atom: -5.8704
ΔE to the lowest computed polymorph in eV per atom: 0.3704
Total moment in μB per formula unit: 0.000
Space group: Cmmm



Record 10
Density functional theory data (GGA-PBE) for a relaxed structure of MgInTc2.

Geometry as CIF:
```
data_MgInTc2
_chemical_formula_sum 'Mg1 In1 Tc2'
_space_group_name_H-M_alt 'P 1'
_space_group_IT_number 1
_cell_length_a 5.342
_cell_length_b 5.342
_cell_length_c 2.794
_cell_angle_alpha 99.72
_cell_angle_beta 99.72
_cell_angle_gamma 117.41
loop_
_space_group_symop_operation_xyz
'x,y,z'
loop_
_atom_site_label
_atom_site_type_symbol
_atom_site_fract_x
_atom_site_fract_y
_atom_site_fract_z
Mg1 Mg 0.000 0.000 0.000
In1 In 0.500 0.500 0.000
Tc1 Tc 0.000 0.500 0.500
Tc2 Tc 0.500 0.000 0.500
```

Computed properties:
ΔE_f in eV per atom: 0.33
Electronic total energy in eV per atom: -5.9349
ΔE to the lowest computed polymorph in eV per atom: 0.3060
Total moment in μB per formula unit: 0.000
Space group: C2/m



Record 11
Density functional theory data (GGA-PBE) for a relaxed structure of MgInTc2.

Geometry as CIF:
```
data_MgInTc2
_chemical_formula_sum 'Mg1 In1 Tc2'
_space_group_name_H-M_alt 'P 1'
_space_group_IT_number 1
_cell_length_a 4.592
_cell_length_b 4.592
_cell_length_c 4.592
_cell_angle_alpha 60.00
_cell_angle_beta 60.00
_cell_angle_gamma 60.00
loop_
_space_group_symop_operation_xyz
'x,y,z'
loop_
_atom_site_label
_atom_site_type_symbol
_atom_site_fract_x
_atom_site_fract_y
_atom_site_fract_z
Mg1 Mg 0.000 0.000 0.000
In1 In 0.500 0.500 0.500
Tc1 Tc 0.250 0.250 0.250
Tc2 Tc 0.750 0.750 0.750
```

Computed properties:
ΔE_f in eV per atom: 0.45
Electronic total energy in eV per atom: -5.8157
ΔE to the lowest computed polymorph in eV per atom: 0.4251
Total moment in μB per formula unit: 3.410
Space group: Fm-3m



Record 12
Density functional theory data (GGA-PBE) for a relaxed structure of MgInTc2.

Geometry as CIF:
```
data_MgInTc2
_chemical_formula_sum 'Mg1 In1 Tc2'
_space_group_name_H-M_alt 'P 1'
_space_group_IT_number 1
_cell_length_a 4.534
_cell_length_b 4.534
_cell_length_c 4.534
_cell_angle_alpha 120.23
_cell_angle_beta 120.23
_cell_angle_gamma 89.60
loop_
_space_group_symop_operation_xyz
'x,y,z'
loop_
_atom_site_label
_atom_site_type_symbol
_atom_site_fract_x
_atom_site_fract_y
_atom_site_fract_z
Mg1 Mg 0.000 0.000 0.000
In1 In 0.750 0.250 0.500
Tc1 Tc 0.250 0.750 0.500
Tc2 Tc 0.500 0.500 0.000
```

Computed properties:
ΔE_f in eV per atom: 0.16
Electronic total energy in eV per atom: -6.1023
ΔE to the lowest computed polymorph in eV per atom: 0.1385
Total moment in μB per formula unit: 0.000
Space group: I-4m2